Computed, not measured: NdDyMgGa after structural relaxation at the PBE level of DFT.

The calculation puts the formation enthalpy at 0 K at -334 meV/atom. Its total magnetization is 0.000 μB per atom. The energy is -3.832 eV per atom.

The space group is P4mm (No. 99) and the conventional cell measures 3.695, 3.695 and 7.652 Å, with angles of 90.00, 90.00 and 90.00 degrees. The inequivalent atoms are Nd at (0.000, 0.000, 0.000), Dy at (0.000, 0.000, 0.462), Mg at (0.500, 0.500, 0.719) and Ga at (0.500, 0.500, 0.246).

Computed, not measured: Th2NbAl after structural relaxation at the PBE level of DFT.

The calculation puts the formation enthalpy at 0 K at 22 meV/atom. Its total magnetization is 0.000 μB per atom. The energy is -7.141 eV per atom.

The space group is P4/mmm (No. 123) and the conventional cell measures 4.816, 4.816 and 4.296 Å, with angles of 90.00, 90.00 and 90.00 degrees. The inequivalent atoms are Th at (0.000, 0.500, 0.000), Nb at (0.000, 0.000, 0.500) and Al at (0.500, 0.500, 0.500).

| no. | polymorph energy (0 for the lowest one) (meV/atom) |
| --- | --- |
| 1 | 2 |
| 2 | 0 |